[1]
This record from the Alexandria database describes a relaxed PmMgAl2Pt4 crystal. The functional is GGA-PBE.

Cell lengths 4.3121, 4.3121, 9.1529 Å; angles 76.38, 76.38, 60.00 degrees
Fractional positions:
Pm 0.0000 0.0000 0.0000
Mg 0.5000 0.5000 0.5000
Al 0.7617 0.7617 0.7149
Al 0.2383 0.2383 0.2851
Pt 0.4019 0.4019 0.7943
Pt 0.8681 0.8681 0.3957
Pt 0.1319 0.1319 0.6043
Pt 0.5981 0.5981 0.2057

Calculated values
Symmetry = R-3m, No. 166
Calculated density = 11.75 g/cm3
Formation energy = -1017 meV/atom

=====

[2]
This record from the Alexandria database describes a relaxed PuZr2Ir crystal. The functional is GGA-PBE.

Cell lengths 3.2004, 4.9750, 4.9750 Å; angles 90.00, 90.00, 90.00 degrees
Fractional positions:
Ir 0.5000 0.0000 0.0000
Zr 0.0000 0.0000 0.5000
Zr 0.0000 0.5000 0.0000
Pu 0.5000 0.5000 0.5000

Calculated values
Symmetry = P4/mmm, No. 123
Calculated density = 12.97 g/cm3
Energy relative to the lowest polymorph listed for this composition = 76 meV/atom
Formation energy = -259 meV/atom

=====

[3]
This record from the Alexandria database describes a relaxed CaTaBr2 crystal. The functional is GGA-PBE.

Cell lengths 5.3764, 5.3764, 5.3764 Å; angles 60.00, 60.00, 60.00 degrees
Fractional positions:
Ca 0.5000 0.5000 0.5000
Br 0.0000 0.0000 0.0000
Br 0.2500 0.2500 0.2500
Ta 0.7500 0.7500 0.7500

Calculated values
Symmetry = F-43m, No. 216
Calculated density = 5.75 g/cm3
Energy relative to the lowest polymorph listed for this composition = 942 meV/atom

=====

[4]
This record from the Alexandria database describes a relaxed ZrTi2I8 crystal. The functional is GGA-PBE.

Cell lengths 6.7722, 8.8049, 8.8049 Å; angles 79.96, 89.71, 89.71 degrees
Fractional positions:
Zr 0.0000 0.0000 0.0000
Ti 0.6666 0.8270 0.8270
Ti 0.3334 0.1730 0.1730
I 0.2229 0.2857 0.8867
I 0.7771 0.1133 0.7143
I 0.2643 0.8242 0.8242
I 0.7357 0.1758 0.1758
I 0.2229 0.8867 0.2857
I 0.7771 0.7143 0.1133
I 0.7566 0.6394 0.6394
I 0.2434 0.3606 0.3606

Calculated values
Symmetry = C2/m, No. 12
Calculated density = 3.86 g/cm3

=====

[5]
This record from the Alexandria database describes a relaxed Y3Er3Al4 crystal. The functional is GGA-PBE.

Cell lengths 4.3058, 7.8147, 7.8147 Å; angles 89.89, 90.00, 90.00 degrees
Fractional positions:
Y 0.5000 0.8250 0.1750
Y 0.5000 0.3244 0.3244
Y 0.5000 0.6756 0.6756
Er 0.0000 0.4991 0.9992
Er 0.0000 0.0008 0.5009
Er 0.5000 0.1750 0.8250
Al 0.0000 0.6194 0.3806
Al 0.0000 0.3795 0.6205
Al 0.0000 0.8814 0.8801
Al 0.0000 0.1199 0.1186

Calculated values
Symmetry = Amm2, No. 38
Calculated density = 5.53 g/cm3
Formation energy = -328 meV/atom

=====

[6]
This record from the Alexandria database describes a relaxed Sr2ScP crystal. The functional is GGA-PBE.

Cell lengths 6.7991, 6.7991, 4.1368 Å; angles 90.00, 90.00, 137.22 degrees
Fractional positions:
Sr 0.9139 0.0861 0.0000
Sr 0.6099 0.3901 0.5000
Sc 0.3000 0.7000 0.5000
P 0.1781 0.8219 0.0000

Calculated values
Symmetry = Amm2, No. 38
Calculated density = 3.21 g/cm3
Formation energy = -516 meV/atom

=====

| no. | E_tot (eV for the cell shown) | spin magnetization (μB per cell) |
| --- | --- | --- |
| 1 | -46.13 | 0.00 |
| 2 | -41.33 | 5.51 |
| 3 | -15.10 | 4.86 |
| 4 | -44.43 | 1.99 |
| 5 | -51.33 | 0.00 |
| 6 | -17.17 | 0.00 |